Record 1
Computed, not measured: a relaxed structure of Ca5AgHg4 at the PBE level of DFT.

Results
Formation enthalpy at 0 K = -48.4 kJ per mole of atoms
Magnetization = 0.000 μB per cell

Cell: 3.730 3.730 19.292 Å, 90.00 90.00 90.00°
Space group P4/mmm (No. 123)
Unique sites:
Ca 0.000 0.000 0.000 [1 per cell]
Ca 0.000 0.000 0.202 [2 per cell]
Ca 0.000 0.000 0.402 [2 per cell]
Ag 0.500 0.500 0.500 [1 per cell]
Hg 0.500 0.500 0.101 [2 per cell]
Hg 0.500 0.500 0.303 [2 per cell]



Record 2
Computed, not measured: a relaxed structure of Ca2AgHg at the PBE level of DFT.

Results
Formation enthalpy at 0 K = -21.2 kJ per mole of atoms
Magnetization = 0.000 μB per cell

Cell: 7.315 7.315 7.315 Å, 90.00 90.00 90.00°
Space group F-43m (No. 216)
Unique sites:
Ca 0.000 0.000 0.000 [4 per cell]
Ca 0.250 0.250 0.250 [4 per cell]
Ag 0.000 0.000 0.500 [4 per cell]
Hg 0.250 0.250 0.750 [4 per cell]



Record 3
Computed, not measured: a relaxed structure of Ca5AgHg at the PBE level of DFT.

Results
Formation enthalpy at 0 K = -18.1 kJ per mole of atoms
Magnetization = 0.000 μB per cell

Cell: 9.727 14.250 7.082 Å, 90.00 102.26 90.00°
Space group C2/c (No. 15)
Unique sites:
Ca 0.000 0.194 0.250 [4 per cell]
Ca 0.163 0.419 0.654 [8 per cell]
Ca 0.191 0.150 0.803 [8 per cell]
Ag 0.000 0.406 0.250 [4 per cell]
Hg 0.000 0.000 0.000 [4 per cell]



Record 4
Computed, not measured: a relaxed structure of Ca3Ag3Hg at the PBE level of DFT.

Results
Formation enthalpy at 0 K = -32.6 kJ per mole of atoms
Magnetization = 0.000 μB per cell

Cell: 11.446 4.273 15.826 Å, 90.00 106.49 90.00°
Space group C2/m (No. 12)
Unique sites:
Ca 0.013 0.000 0.379 [4 per cell]
Ca 0.112 0.000 0.926 [4 per cell]
Ca 0.230 0.000 0.224 [4 per cell]
Ag 0.009 0.500 0.224 [4 per cell]
Ag 0.105 0.500 0.075 [4 per cell]
Ag 0.129 0.500 0.534 [4 per cell]
Hg 0.224 0.500 0.376 [4 per cell]